No. 1
Here is a geometry-optimized Ho3NiGe2 structure from the Open Quantum Materials Database. Energies are from GGA-PBE.

a b c (Å): 11.3300 4.1609 11.2117
angles (deg): 90.00 90.00 90.00
Space group Pnma (No. 62)
Unique sites:
Ho: 0.0561 0.2500 0.1284 x4
Ho: 0.1198 0.7500 0.5582 x4
Ho: 0.2195 0.2500 0.8036 x4
Ni: 0.1294 0.2500 0.3690 x4
Ge: 0.0173 0.7500 0.3134 x4
Ge: 0.1910 0.7500 0.9980 x4

* calculated volume: 528.6 Å³/cell
* calculated density: 8.78 g/cm3
* uncorrected energy: -5.557 eV per atom
* M_tot: 0.2 μB per formula unit

No. 2
Here is a geometry-optimized ZnTc2Os structure from the Open Quantum Materials Database. Energies are from GGA-PBE.

a b c (Å): 6.1291 6.1291 6.1291
angles (deg): 90.00 90.00 90.00
Space group F-43m (No. 216)
Unique sites:
Zn: 0.0000 0.0000 0.0000 x4
Tc: 0.0000 0.0000 0.5000 x4
Tc: 0.2500 0.2500 0.7500 x4
Os: 0.2500 0.2500 0.2500 x4

* calculated volume: 230.2 Å³/cell
* calculated density: 13.03 g/cm3
* energy of formation: 0.264 eV/atom
* M_tot: 0.3 μB per formula unit

No. 3
Here is a geometry-optimized Zr2Ta4As3N3 structure from the Open Quantum Materials Database. Energies are from GGA-PBE.

a b c (Å): 10.0307 5.8055 12.5373
angles (deg): 90.00 105.45 90.00
Space group C2/c (No. 15)
Unique sites:
Zr: 0.0505 0.0841 0.3975 x8
Ta: 0.1136 0.4223 0.5885 x8
Ta: 0.2177 0.4130 0.9118 x8
As: 0.0000 0.4372 0.2500 x4
As: 0.1769 0.0944 0.7495 x8
N: 0.0808 0.2443 0.0000 x8
N: 0.2500 0.2500 0.5000 x4

* calculated volume: 703.7 Å³/cell
* calculated density: 11.07 g/cm3
* uncorrected energy: -9.475 eV per atom
* M_tot: 0.0 μB per formula unit

No. 4
Here is a geometry-optimized LaCuTePbSe2 structure from the Open Quantum Materials Database. Energies are from GGA-PBE.

a b c (Å): 4.2357 14.0176 11.7118
angles (deg): 90.00 90.00 90.00
Space group Cmcm (No. 63)
Unique sites:
La: 0.0000 0.0000 0.0000 x4
Cu: 0.0000 0.4743 0.2500 x4
Te: 0.0000 0.0936 0.2500 x4
Pb: 0.0000 0.2196 0.7500 x4
Se: 0.0000 0.3654 0.0827 x8

* calculated volume: 695.4 Å³/cell
* calculated density: 6.64 g/cm3
* uncorrected energy: -4.710 eV per atom
* M_tot: 0.0 μB per formula unit

No. 5
Here is a geometry-optimized BaTlGaPd2 structure from the Open Quantum Materials Database. Energies are from GGA-PBE.

a b c (Å): 4.6883 4.6883 10.9096
angles (deg): 90.00 90.00 90.00
Space group P4/nmm (No. 129, origin choice 2)
Unique sites:
Ba: 0.2500 0.2500 0.2319 x2
Tl: 0.2500 0.7500 0.5000 x2
Ga: 0.2500 0.2500 0.8974 x2
Pd: 0.2500 0.2500 0.6622 x2
Pd: 0.2500 0.7500 0.0000 x2

* calculated volume: 239.8 Å³/cell
* calculated density: 8.65 g/cm3
* uncorrected energy: -4.116 eV per atom

No. 6
Here is a geometry-optimized TlAu structure from the Open Quantum Materials Database. Energies are from GGA-PBE.

a b c (Å): 6.4717 6.4717 6.4717
angles (deg): 90.00 90.00 90.00
Space group F-43m (No. 216)
Unique sites:
Tl: 0.0000 0.0000 0.0000 x4
Au: 0.2500 0.2500 0.2500 x4

* calculated volume: 271.1 Å³/cell
* calculated density: 9.83 g/cm3
* uncorrected energy: -2.618 eV per atom

No. 7
Here is a geometry-optimized ErSiPt2 structure from the Open Quantum Materials Database. Energies are from GGA-PBE.

a b c (Å): 4.0150 6.5249 5.5590
angles (deg): 90.00 90.00 90.00
Space group Pmn2_1 (No. 31)
Unique sites:
Er: 0.0000 0.0766 0.0000 x2
Si: 0.0000 0.6106 0.7538 x2
Pt: 0.0000 0.2577 0.4750 x2
Pt: 0.0000 0.6589 0.3035 x2

* calculated volume: 145.6 Å³/cell
* calculated density: 13.35 g/cm3
* uncorrected energy: -6.510 eV per atom
* M_tot: 0.0 μB per formula unit

No. 8
Here is a geometry-optimized PrGaAg2Sn structure from the Open Quantum Materials Database. Energies are from GGA-PBE.

a b c (Å): 4.5326 4.5326 11.1568
angles (deg): 90.00 90.00 90.00
Space group P4/nmm (No. 129, origin choice 2)
Unique sites:
Pr: 0.2500 0.2500 0.2394 x2
Ga: 0.2500 0.7500 0.0000 x2
Ag: 0.2500 0.2500 0.8841 x2
Ag: 0.2500 0.7500 0.5000 x2
Sn: 0.2500 0.2500 0.6457 x2

* calculated volume: 229.2 Å³/cell
* calculated density: 7.90 g/cm3
* uncorrected energy: -3.882 eV per atom
* M_tot: 0.0 μB per formula unit

No. 9
Here is a geometry-optimized FeB4Pd structure from the Open Quantum Materials Database. Energies are from GGA-PBE.

a b c (Å): 2.9932 2.9932 6.7133
angles (deg): 90.00 90.00 120.00
Space group P6/mmm (No. 191)
Unique sites:
Fe: 0.0000 0.0000 0.0000 x1
B: 0.3333 0.6667 0.2248 x4
Pd: 0.0000 0.0000 0.5000 x1

* calculated volume: 52.1 Å³/cell
* distance to the lowest polymorph of the same formula: 0.0000 eV per atom
* calculated density: 6.55 g/cm3
* M_tot: 2.8 μB per formula unit

No. 10
Here is a geometry-optimized KDyFeTe3 structure from the Open Quantum Materials Database. Energies are from GGA-PBE.

a b c (Å): 11.4931 4.3539 15.7860
angles (deg): 90.00 90.00 90.00
Space group Pnma (No. 62)
Unique sites:
K: 0.2308 0.2500 0.0002 x4
Dy: 0.0175 0.7500 0.2526 x4
Fe: 0.2357 0.7500 0.7822 x4
Te: 0.0486 0.7500 0.8770 x4
Te: 0.0817 0.2500 0.3816 x4
Te: 0.2339 0.2500 0.6810 x4

* calculated volume: 789.9 Å³/cell
* distance to the lowest polymorph of the same formula: 0.0196 eV per atom
* calculated density: 5.38 g/cm3
* M_tot: 4.0 μB per formula unit

No. 11
Here is a geometry-optimized TbSc structure from the Open Quantum Materials Database. Energies are from GGA-PBE.

a b c (Å): 6.5550 6.5550 6.5550
angles (deg): 90.00 90.00 90.00
Space group F-43m (No. 216)
Unique sites:
Tb: 0.0000 0.0000 0.0000 x4
Sc: 0.2500 0.2500 0.2500 x4

* calculated volume: 281.7 Å³/cell
* distance to the lowest polymorph of the same formula: 1.8795 eV per atom
* calculated density: 4.81 g/cm3
* energy of formation: 1.939 eV/atom
* M_tot: 0.0 μB per formula unit

No. 12
Here is a geometry-optimized NaAs5Ir3 structure from the Open Quantum Materials Database. Energies are from GGA-PBE.

a b c (Å): 5.5746 5.5746 7.5015
angles (deg): 90.00 90.00 120.00
Space group P6/mmm (No. 191)
Unique sites:
Na: 0.0000 0.0000 0.0000 x1
As: 0.0000 0.0000 0.5000 x1
As: 0.3333 0.6667 0.2407 x4
Ir: 0.0000 0.5000 0.5000 x3

* calculated volume: 201.9 Å³/cell
* calculated density: 8.01 g/cm3
* uncorrected energy: -5.699 eV per atom
* M_tot: 0.0 μB per formula unit

No. 13
Here is a geometry-optimized TlCdFeTc structure from the Open Quantum Materials Database. Energies are from GGA-PBE.

a b c (Å): 6.5178 6.5178 6.5178
angles (deg): 90.00 90.00 90.00
Space group F-43m (No. 216)
Unique sites:
Tl: 0.0000 0.0000 0.0000 x4
Cd: 0.0000 0.0000 0.5000 x4
Fe: 0.2500 0.2500 0.7500 x4
Tc: 0.2500 0.2500 0.2500 x4

* calculated volume: 276.9 Å³/cell
* distance to the lowest polymorph of the same formula: 0.0000 eV per atom
* calculated density: 11.29 g/cm3
* M_tot: 3.3 μB per formula unit

No. 14
Here is a geometry-optimized LiTbSm structure from the Open Quantum Materials Database. Energies are from GGA-PBE.

a b c (Å): 7.1821 7.1821 7.1821
angles (deg): 90.00 90.00 90.00
Space group F-43m (No. 216)
Unique sites:
Li: 0.0000 0.0000 0.0000 x4
Tb: 0.2500 0.2500 0.2500 x4
Sm: 0.2500 0.2500 0.7500 x4

* calculated volume: 370.5 Å³/cell
* distance to the lowest polymorph of the same formula: 0.0000 eV per atom
* calculated density: 5.67 g/cm3
* M_tot: 1.5 μB per formula unit

No. 15
Here is a geometry-optimized TaTl2GaCl6 structure from the Open Quantum Materials Database. Energies are from GGA-PBE.

a b c (Å): 7.2407 7.2407 13.2861
angles (deg): 90.00 90.00 120.00
Space group P-31c (No. 163)
Unique sites:
Ta: 0.0000 0.0000 0.2500 x2
Tl: 0.3333 0.6667 0.0272 x4
Ga: 0.3333 0.6667 0.7500 x2
Cl: 0.0102 0.2841 0.8569 x12

* calculated volume: 603.2 Å³/cell
* calculated density: 4.80 g/cm3
* uncorrected energy: -3.984 eV per atom
* M_tot: 2.0 μB per formula unit